Crystalline YEr4S7 at its relaxed geometry. Source: Alexandria via LeMat-Bulk, functional PBE-GGA.

a b c (Å): 3.7789 6.6582 11.5489
angles (deg): 103.86 90.00 106.49
Last column: nearest neighbours and their distance in Å.
Atoms (fractional coordinates):
Y  0.8881  0.7762  0.5789  6 S 2.68-2.83
Er  0.7003  0.4006  0.8134  7 S 2.72-2.92
Er  0.3001  0.6002  0.1869  7 S 2.72-2.92
Er  0.0004  0.0007  0.0007  6 S 2.66-2.73
Er  0.1119  0.2239  0.4206  6 S 2.65-2.81
S  0.7400  0.4800  0.3511  4 Er 2.75-2.91, 1 Y 2.83
S  0.2568  0.5135  0.6478  2 Y 2.77, 3 Er 2.81-2.90
S  0.3416  0.6831  0.9493  5 Er 2.73-2.92
S  0.6592  0.3184  0.0511  5 Er 2.73-2.92
S  0.0427  0.0853  0.7868  3 Er 2.66-2.72, 1 Y 2.70
S  0.9581  0.9163  0.2149  4 Er 2.66-2.72
S  0.5009  0.0018  0.4983  2 Er 2.65, 2 Y 2.68

Results
VASP energy ... -78.4 eV for the cell shown
Space group ... Cm, No. 8
Raw formation energy ... -2.07 eV/atom

=====

Crystalline YbEr2S4 at its relaxed geometry. Source: Alexandria via LeMat-Bulk, functional PBE-GGA.

a b c (Å): 3.8562 12.8663 13.0075
angles (deg): 90.00 90.00 90.00
Last column: nearest neighbours and their distance in Å.
Atoms (fractional coordinates):
Yb  0.7500  0.8694  0.4171  7 S 2.85-2.99
Yb  0.2500  0.6306  0.9171  7 S 2.85-2.99
Yb  0.7500  0.3694  0.0829  7 S 2.85-2.99
Yb  0.2500  0.1306  0.5829  7 S 2.85-2.99
Er  0.7500  0.6079  0.5823  6 S 2.69-2.78
Er  0.2500  0.8921  0.0823  6 S 2.69-2.78
Er  0.7500  0.1079  0.9177  6 S 2.69-2.78
Er  0.2500  0.3921  0.4177  6 S 2.69-2.78
Er  0.7500  0.6466  0.2021  6 S 2.69-2.75
Er  0.2500  0.8534  0.7021  6 S 2.69-2.75
Er  0.7500  0.1466  0.2979  6 S 2.69-2.75
Er  0.2500  0.3534  0.7979  6 S 2.69-2.75
S  0.7500  0.9714  0.6165  2 Er 2.69, 3 Yb 2.85-2.91
S  0.2500  0.5286  0.1165  2 Er 2.69, 3 Yb 2.85-2.91
S  0.7500  0.4714  0.8835  2 Er 2.69, 3 Yb 2.85-2.91
S  0.2500  0.0286  0.3835  2 Er 2.69, 3 Yb 2.85-2.91
S  0.7500  0.7168  0.7638  3 Er 2.73-2.74, 2 Yb 2.99
S  0.2500  0.7832  0.2638  3 Er 2.73-2.74, 2 Yb 2.99
S  0.7500  0.2168  0.7362  3 Er 2.73-2.74, 2 Yb 2.99
S  0.2500  0.2832  0.2362  3 Er 2.73-2.74, 2 Yb 2.99
S  0.7500  0.5336  0.3819  4 Er 2.69-2.78
S  0.2500  0.9664  0.8819  4 Er 2.69-2.78
S  0.7500  0.0336  0.1181  4 Er 2.69-2.78
S  0.2500  0.4664  0.6181  4 Er 2.69-2.78
S  0.7500  0.7558  0.0241  3 Er 2.71, 2 Yb 2.87
S  0.2500  0.7442  0.5241  3 Er 2.71, 2 Yb 2.87
S  0.7500  0.2558  0.4759  3 Er 2.71, 2 Yb 2.87
S  0.2500  0.2442  0.9759  3 Er 2.71, 2 Yb 2.87

Results
VASP energy ... -167.7 eV for the cell shown
Space group ... Pnma, No. 62
Raw formation energy ... -2.11 eV/atom

=====

Crystalline Er7ZnS5 at its relaxed geometry. Source: Alexandria via LeMat-Bulk, functional PBE-GGA.

a b c (Å): 3.8631 6.6564 23.1619
angles (deg): 90.04 90.00 106.87
Last column: nearest neighbours and their distance in Å.
Atoms (fractional coordinates):
Er  0.4729  0.9458  0.2499  2 S 2.70-2.71, 2 Zn 2.94
Er  0.5277  0.0554  0.7501  2 S 2.70-2.71, 2 Zn 2.94
Er  0.6371  0.2743  0.0362  6 S 2.68-2.73
Er  0.3635  0.7270  0.9639  6 S 2.68-2.73
Er  0.3636  0.7272  0.5362  6 S 2.68-2.73
Er  0.6369  0.2738  0.4638  6 S 2.68-2.73
Er  0.1830  0.3660  0.1758  3 S 2.70-2.71, 2 Zn 2.98
Er  0.8176  0.6352  0.8242  3 S 2.70-2.71, 2 Zn 2.98
Er  0.8183  0.6365  0.6757  3 S 2.70-2.71, 2 Zn 2.98
Er  0.1823  0.3645  0.3243  3 S 2.70-2.71, 2 Zn 2.98
Er  0.9096  0.8192  0.1101  5 S 2.70-2.80
Er  0.0910  0.1820  0.8899  5 S 2.70-2.80
Er  0.0914  0.1829  0.6102  5 S 2.70-2.80
Er  0.9091  0.8181  0.3897  5 S 2.70-2.80
Zn  0.7993  0.5986  0.2504  6 Er 2.94-2.98
Zn  0.2012  0.4025  0.7497  6 Er 2.94-2.98
S  0.0003  0.0006  0.0000  6 Er 2.73-2.80
S  0.7263  0.4525  0.9295  6 Er 2.70-2.75
S  0.2744  0.5488  0.0705  6 Er 2.70-2.75
S  0.5469  0.0939  0.3594  6 Er 2.68-2.71
S  0.4536  0.9072  0.6406  6 Er 2.68-2.71
S  0.0002  0.0005  0.5000  6 Er 2.73-2.80
S  0.2741  0.5482  0.4295  6 Er 2.70-2.75
S  0.7264  0.4528  0.5705  6 Er 2.70-2.75
S  0.4531  0.9062  0.8594  6 Er 2.68-2.71
S  0.5475  0.0951  0.1406  6 Er 2.68-2.71

Results
VASP energy ... -148.7 eV for the cell shown
Space group ... C2/m, No. 12
Raw formation energy ... -1.58 eV/atom

=====

Crystalline Er6ZnS4 at its relaxed geometry. Source: Alexandria via LeMat-Bulk, functional PBE-GGA.

a b c (Å): 3.8640 6.6792 19.7737
angles (deg): 90.00 90.00 106.81
Last column: nearest neighbours and their distance in Å.
Atoms (fractional coordinates):
Er  0.5000  0.0000  0.0000  6 S 2.69-2.73
Er  0.5000  0.0000  0.5000  6 S 2.69-2.73
Er  0.0448  0.0896  0.3372  3 S 2.71-2.72, 2 Zn 2.98
Er  0.9552  0.9104  0.6628  3 S 2.71-2.72, 2 Zn 2.98
Er  0.9552  0.9104  0.8372  3 S 2.71-2.72, 2 Zn 2.98
Er  0.0448  0.0896  0.1628  3 S 2.71-2.72, 2 Zn 2.98
Er  0.7721  0.5442  0.4145  5 S 2.71-2.74
Er  0.2279  0.4558  0.5855  5 S 2.71-2.74
Er  0.2279  0.4558  0.9145  5 S 2.71-2.74
Er  0.7721  0.5442  0.0855  5 S 2.71-2.74
Er  0.3323  0.6647  0.2500  2 S 2.70, 2 Zn 2.93
Er  0.6677  0.3353  0.7500  2 S 2.70, 2 Zn 2.93
Zn  0.6604  0.3208  0.2500  6 Er 2.93-2.98
Zn  0.3396  0.6792  0.7500  6 Er 2.93-2.98
S  0.8621  0.7242  0.5396  6 Er 2.71-2.74
S  0.4087  0.8174  0.1228  6 Er 2.69-2.72
S  0.1379  0.2758  0.4604  6 Er 2.71-2.74
S  0.5913  0.1826  0.8772  6 Er 2.69-2.72
S  0.8621  0.7242  0.9604  6 Er 2.71-2.74
S  0.1379  0.2758  0.0396  6 Er 2.71-2.74
S  0.5913  0.1826  0.6228  6 Er 2.69-2.72
S  0.4087  0.8174  0.3772  6 Er 2.69-2.72

Results
VASP energy ... -123.5 eV for the cell shown
Space group ... Cmcm, No. 63
Raw formation energy ... -1.51 eV/atom

=====

Crystalline Er5ZnS4 at its relaxed geometry. Source: Alexandria via LeMat-Bulk, functional PBE-GGA.

a b c (Å): 3.8463 6.8297 8.7913
angles (deg): 75.74 77.36 73.65
Last column: nearest neighbours and their distance in Å.
Atoms (fractional coordinates):
Er  0.1981  0.9042  0.6995  5 S 2.74-2.77, 1 Zn 2.77
Er  0.8019  0.0958  0.3005  5 S 2.74-2.77, 1 Zn 2.77
Er  0.3945  0.3131  0.8979  4 S 2.73-2.84, 2 Zn 2.82
Er  0.0000  0.5000  0.5000  6 S 2.73-2.74
Er  0.6055  0.6869  0.1021  4 S 2.73-2.84, 2 Zn 2.82
Zn  0.0000  0.0000  0.0000  6 Er 2.77-2.82
S  0.6015  0.2031  0.5939  6 Er 2.74-2.84
S  0.1988  0.3954  0.2069  6 Er 2.73-2.81
S  0.8012  0.6046  0.7931  6 Er 2.73-2.81
S  0.3985  0.7969  0.4061  6 Er 2.74-2.84

Results
VASP energy ... -56.8 eV for the cell shown
Space group ... C2/m, No. 12
Raw formation energy ... -1.62 eV/atom

=====

Crystalline Er4Zn2S at its relaxed geometry. Source: Alexandria via LeMat-Bulk, functional PBE-GGA.

a b c (Å): 3.8672 6.4944 7.3625
angles (deg): 75.23 74.77 72.68
Last column: nearest neighbours and their distance in Å.
Atoms (fractional coordinates):
Er  0.0937  0.1907  0.6220  1 S 2.72
Er  0.9063  0.8093  0.3780  1 S 2.72
Er  0.3267  0.2625  0.0841  2 S 2.67, 2 Zn 2.95
Er  0.6733  0.7375  0.9159  2 S 2.67, 2 Zn 2.95
Zn  0.3851  0.5574  0.6724  1 Zn 2.68, 2 Er 2.95
Zn  0.6149  0.4426  0.3276  1 Zn 2.68, 2 Er 2.95
S  0.0000  0.0000  0.0000  6 Er 2.67-2.72

Results
VASP energy ... -30.0 eV for the cell shown
Space group ... C2/m, No. 12
Raw formation energy ... -0.73 eV/atom

=====

Crystalline Er3ZnS6 at its relaxed geometry. Source: Alexandria via LeMat-Bulk, functional PBE-GGA.

a b c (Å): 6.2687 8.5603 8.5603
angles (deg): 102.61 90.00 90.00
Last column: nearest neighbours and their distance in Å.
Atoms (fractional coordinates):
Er  0.4757  0.9258  0.7162  7 S 2.72-2.95
Er  0.9757  0.7162  0.9258  7 S 2.72-2.95
Er  0.3990  0.3899  0.6101  7 S 2.75-2.80
Er  0.8990  0.6101  0.3899  7 S 2.75-2.80
Er  0.9757  0.0742  0.2838  7 S 2.72-2.95
Er  0.4757  0.2838  0.0742  7 S 2.72-2.95
Zn  0.0223  0.1984  0.8016  4 S 2.30-2.38
Zn  0.5223  0.8016  0.1984  4 S 2.30-2.38
S  0.1872  0.6825  0.6405  4 Er 2.73-2.80
S  0.6872  0.6405  0.6825  4 Er 2.73-2.80
S  0.2034  0.4381  0.9050  1 Zn 2.34
S  0.7034  0.9050  0.4381  1 Zn 2.34
S  0.1724  0.0351  0.9649  1 Zn 2.38
S  0.6592  0.2214  0.7786  1 Zn 2.30
S  0.1592  0.7786  0.2214  1 Zn 2.30
S  0.6724  0.9649  0.0351  1 Zn 2.38
S  0.2034  0.0950  0.5619  1 Zn 2.34
S  0.7034  0.5619  0.0950  1 Zn 2.34
S  0.1872  0.3595  0.3175  4 Er 2.73-2.80
S  0.6872  0.3175  0.3595  4 Er 2.73-2.80

Results
VASP energy ... -111.6 eV for the cell shown
Space group ... Cmc2_1, No. 36
Raw formation energy ... -1.60 eV/atom

=====

Crystalline Er6Zn2S3 at its relaxed geometry. Source: Alexandria via LeMat-Bulk, functional PBE-GGA.

a b c (Å): 6.6261 6.6117 7.1668
angles (deg): 81.01 71.82 59.93
Last column: nearest neighbours and their distance in Å.
Atoms (fractional coordinates):
Er  0.4152  0.6738  0.7605  3 S 2.72-2.75, 2 Zn 2.87
Er  0.7376  0.0000  0.7698  3 S 2.72-2.74, 2 Zn 2.85
Er  0.0890  0.3262  0.7605  3 S 2.72-2.75, 2 Zn 2.87
Er  0.2624  0.0000  0.2302  3 S 2.72-2.74, 2 Zn 2.85
Er  0.5848  0.3262  0.2395  3 S 2.72-2.75, 2 Zn 2.87
Er  0.9110  0.6738  0.2395  3 S 2.72-2.75, 2 Zn 2.87
Zn  0.1627  0.6746  0.5000  6 Er 2.85-2.87
Zn  0.8373  0.3254  0.5000  6 Er 2.85-2.87
S  0.0000  0.0000  0.0000  6 Er 2.73-2.74
S  0.3290  0.3419  0.0000  6 Er 2.72-2.75
S  0.6710  0.6581  0.0000  6 Er 2.72-2.75

Results
VASP energy ... -54.5 eV for the cell shown
Space group ... C2/m, No. 12
Raw formation energy ... -1.11 eV/atom

=====

Crystalline ErZnS at its relaxed geometry. Source: Alexandria via LeMat-Bulk, functional PBE-GGA.

a b c (Å): 4.4775 4.4775 7.8147
angles (deg): 73.35 73.35 60.00
Last column: nearest neighbours and their distance in Å.
Atoms (fractional coordinates):
Er  0.5839  0.5839  0.2484  4 S 2.70-2.90
Er  0.4161  0.4161  0.7516  4 S 2.70-2.90
S  0.2852  0.2852  0.1444  1 Zn 2.56, 3 Er 2.70
S  0.7148  0.7148  0.8556  1 Zn 2.56, 3 Er 2.70
Zn  0.8307  0.8307  0.5080  1 S 2.56, 3 Zn 2.59
Zn  0.1693  0.1693  0.4920  1 S 2.56, 3 Zn 2.59

Results
VASP energy ... -27.0 eV for the cell shown
Space group ... R-3m, No. 166
Raw formation energy ... -1.18 eV/atom

=====

Crystalline Er2ZrS4 at its relaxed geometry. Source: Alexandria via LeMat-Bulk, functional PBE-GGA.

a b c (Å): 3.8492 6.8560 7.2674
angles (deg): 118.90 105.36 90.00
Last column: nearest neighbours and their distance in Å.
Atoms (fractional coordinates):
Er  0.7327  0.7434  0.4654  6 S 2.67-2.78
Er  0.2673  0.2566  0.5346  6 S 2.67-2.78
Zr  0.0000  0.0000  0.0000  6 S 2.60-2.67
S  0.8813  0.1951  0.7626  1 Zr 2.60, 3 Er 2.67-2.73
S  0.1187  0.8049  0.2374  1 Zr 2.60, 3 Er 2.67-2.73
S  0.6298  0.2764  0.2596  2 Zr 2.67, 3 Er 2.78
S  0.3702  0.7236  0.7404  2 Zr 2.67, 3 Er 2.78

Results
VASP energy ... -46.9 eV for the cell shown
Space group ... C2/m, No. 12
Raw formation energy ... -1.82 eV/atom

=====

Crystalline ErZrS at its relaxed geometry. Source: Alexandria via LeMat-Bulk, functional PBE-GGA.

a b c (Å): 3.8633 3.8633 8.8765
angles (deg): 90.00 90.00 90.00
Last column: nearest neighbours and their distance in Å.
Atoms (fractional coordinates):
Er  0.7501  0.2499  0.1787  5 S 2.76-2.78
Er  0.2499  0.7501  0.8213  5 S 2.76-2.78
Zr  0.7500  0.2500  0.5631  1 S 2.69, 4 Zr 2.95
Zr  0.2500  0.7500  0.4369  1 S 2.69, 4 Zr 2.95
S  0.2501  0.7499  0.1344  1 Zr 2.69, 5 Er 2.76-2.78
S  0.7499  0.2501  0.8656  1 Zr 2.69, 5 Er 2.76-2.78

Results
VASP energy ... -42.0 eV for the cell shown
Space group ... P4/nmm, No. 129
E above lowest polymorph ... 0.0000 eV per atom
Raw formation energy ... -1.26 eV/atom

=====

Crystalline Er2ZrS3 at its relaxed geometry. Source: Alexandria via LeMat-Bulk, functional PBE-GGA.

a b c (Å): 3.7053 3.7053 19.7666
angles (deg): 90.00 90.00 120.00
Last column: nearest neighbours and their distance in Å.
Atoms (fractional coordinates):
Er  0.3333  0.6667  0.9201  6 S 2.66-2.77
Er  0.6667  0.3333  0.0799  6 S 2.66-2.77
Er  0.6667  0.3333  0.4201  6 S 2.66-2.77
Er  0.3333  0.6667  0.5799  6 S 2.66-2.77
Zr  0.0000  0.0000  0.2500  6 S 2.67
Zr  0.0000  0.0000  0.7500  6 S 2.67
S  0.0000  0.0000  0.0000  6 Er 2.66
S  0.3333  0.6667  0.1691  3 Zr 2.67, 3 Er 2.77
S  0.3333  0.6667  0.3309  3 Zr 2.67, 3 Er 2.77
S  0.0000  0.0000  0.5000  6 Er 2.66
S  0.6667  0.3333  0.6691  3 Zr 2.67, 3 Er 2.77
S  0.6667  0.3333  0.8309  3 Zr 2.67, 3 Er 2.77

Results
VASP energy ... -81.0 eV for the cell shown
Space group ... P6_3/mmc, No. 194
Raw formation energy ... -1.74 eV/atom

=====

Question: Look up the raw formation energy of the eleventh one.
Answer: -1.26 eV/atom

=====

Question: Which formula does entry 5 have?
Answer: Er5ZnS4

=====

Question: Among the records above, which one has the highest raw formation energy?
Answer: Er4Zn2S